1.
Rb3Ce3ScO8: optimized geometry, PBE-GGA.

Properties
E_form (uncorrected) in eV/atom: -2.776
Electronic total energy in eV per atom: -7.223

Structure (POSCAR):
```
Rb3Ce3ScO8
1.0
-3.589 -2.717 -5.462
4.521 -4.057 3.634
-6.709 1.833 3.495
Rb Ce Sc O
3 3 1 8
direct
0.000 0.000 0.000 Rb
0.000 0.500 0.000 Rb
0.500 0.500 0.000 Rb
0.500 0.000 0.500 Ce
0.500 0.500 0.500 Ce
0.000 0.500 0.500 Ce
0.000 0.000 0.500 Sc
0.274 0.547 0.321 O
0.726 0.453 0.679 O
0.789 0.578 0.337 O
0.211 0.422 0.663 O
0.789 0.048 0.337 O
0.211 0.952 0.663 O
0.259 0.048 0.337 O
0.741 0.952 0.663 O
```

2.
Zr4AgIr: optimized geometry, PBE-GGA.

Properties
Energy above the most stable polymorph in this dataset in meV/atom: 434
Electronic total energy in eV per atom: -7.290

Structure (POSCAR):
```
Zr4AgIr
1.0
0.000 3.946 3.946
3.946 0.000 3.946
3.946 3.946 0.000
Zr Ag Ir
4 1 1
direct
0.880 0.373 0.373 Zr
0.373 0.373 0.880 Zr
0.373 0.880 0.373 Zr
0.373 0.373 0.373 Zr
0.750 0.750 0.750 Ag
0.000 0.000 0.000 Ir
```